[1]
# K5Na2Hg2 | the Alexandria database | GGA-PBE | optimized geometry
# - Energy of formation from the pure elements: -91 meV per atom
# - Uncorrected energy: -1.0610 eV/atom
# - Symmetry: C2/m (12)
# - DOS at the Fermi energy: 4.42 states/eV/f.u.
data_K5Na2Hg2
_chemical_formula_sum 'K5 Na2 Hg2'
_cell_length_a 9.1740
_cell_length_b 9.1740
_cell_length_c 9.4718
_cell_angle_alpha 98.82
_cell_angle_beta 98.82
_cell_angle_gamma 33.67
_symmetry_space_group_name_H-M 'P 1'
_symmetry_Int_Tables_number 1
loop_
_symmetry_equiv_pos_as_xyz
'x,y,z'
loop_
_atom_site_label
_atom_site_type_symbol
_atom_site_fract_x
_atom_site_fract_y
_atom_site_fract_z
_atom_site_occupancy
K1 K 0.0000 0.0000 0.0000 1
K2 K 0.1768 0.1768 0.6138 1
K3 K 0.3369 0.3369 0.0343 1
K4 K 0.6631 0.6631 0.9657 1
K5 K 0.8232 0.8232 0.3862 1
Na1 Na 0.4295 0.4295 0.6686 1
Na2 Na 0.5705 0.5705 0.3314 1
Hg1 Hg 0.1780 0.1780 0.2358 1
Hg2 Hg 0.8220 0.8220 0.7642 1

***

[2]
# TcOs2Cl | the Alexandria database | GGA-PBE | optimized geometry
# - Formation energy from raw total energies: 118 kJ/mol of atoms
# - Uncorrected energy: -7.4406 eV/atom
# - Symmetry: Fm-3m (225)
# - DOS at the Fermi energy: 3.20 states/eV/f.u.
# - Energy above the lowest structure with this stoichiometry: 302.5 kJ/mol of formula units
data_TcOs2Cl
_chemical_formula_sum 'Tc1 Os2 Cl1'
_cell_length_a 4.3880
_cell_length_b 4.3880
_cell_length_c 4.3880
_cell_angle_alpha 60.00
_cell_angle_beta 60.00
_cell_angle_gamma 60.00
_symmetry_space_group_name_H-M 'P 1'
_symmetry_Int_Tables_number 1
loop_
_symmetry_equiv_pos_as_xyz
'x,y,z'
loop_
_atom_site_label
_atom_site_type_symbol
_atom_site_fract_x
_atom_site_fract_y
_atom_site_fract_z
_atom_site_occupancy
Tc1 Tc 0.0000 0.0000 0.0000 1
Os1 Os 0.2500 0.2500 0.2500 1
Os2 Os 0.7500 0.7500 0.7500 1
Cl1 Cl 0.5000 0.5000 0.5000 1

***

[3]
# AcTmF6 | the Alexandria database | GGA-PBE | optimized geometry
# - Formation energy from raw total energies: -400 kJ/mol of atoms
# - Uncorrected energy: -6.6188 eV/atom
# - Symmetry: P4_2/m (84)
# - DOS at the Fermi energy: 0.00 states/eV/f.u.
data_AcTmF6
_chemical_formula_sum 'Ac2 Tm2 F12'
_cell_length_a 5.5378
_cell_length_b 5.5378
_cell_length_c 8.0786
_cell_angle_alpha 90.00
_cell_angle_beta 90.00
_cell_angle_gamma 90.00
_symmetry_space_group_name_H-M 'P 1'
_symmetry_Int_Tables_number 1
loop_
_symmetry_equiv_pos_as_xyz
'x,y,z'
loop_
_atom_site_label
_atom_site_type_symbol
_atom_site_fract_x
_atom_site_fract_y
_atom_site_fract_z
_atom_site_occupancy
Ac1 Ac 0.0000 0.0000 0.0000 1
Ac2 Ac 0.0000 0.0000 0.5000 1
Tm1 Tm 0.5000 0.5000 0.2500 1
Tm2 Tm 0.5000 0.5000 0.7500 1
F1 F 0.2053 0.2580 0.1932 1
F2 F 0.2053 0.2580 0.8068 1
F3 F 0.2580 0.7947 0.3068 1
F4 F 0.2580 0.7947 0.6932 1
F5 F 0.3223 0.3500 0.5000 1
F6 F 0.3500 0.6777 0.0000 1
F7 F 0.6500 0.3223 0.0000 1
F8 F 0.6777 0.6500 0.5000 1
F9 F 0.7420 0.2053 0.3068 1
F10 F 0.7420 0.2053 0.6932 1
F11 F 0.7947 0.7420 0.1932 1
F12 F 0.7947 0.7420 0.8068 1

***

[4]
# LiHoSi2Pt | the Alexandria database | GGA-PBE | optimized geometry
# - Formation energy from raw total energies: -87 kJ/mol of atoms
# - Uncorrected energy: -5.5725 eV/atom
# - Symmetry: I-4m2 (119)
# - DOS at the Fermi energy: 2.04 states/eV/f.u.
data_LiHoSi2Pt
_chemical_formula_sum 'Li1 Ho1 Si2 Pt1'
_cell_length_a 5.9309
_cell_length_b 5.9309
_cell_length_c 5.9309
_cell_angle_alpha 140.75
_cell_angle_beta 140.75
_cell_angle_gamma 56.72
_symmetry_space_group_name_H-M 'P 1'
_symmetry_Int_Tables_number 1
loop_
_symmetry_equiv_pos_as_xyz
'x,y,z'
loop_
_atom_site_label
_atom_site_type_symbol
_atom_site_fract_x
_atom_site_fract_y
_atom_site_fract_z
_atom_site_occupancy
Li1 Li 0.0000 0.0000 0.0000 1
Ho1 Ho 0.2500 0.7500 0.5000 1
Si1 Si 0.6383 0.1383 0.5000 1
Si2 Si 0.8617 0.3617 0.5000 1
Pt1 Pt 0.5000 0.5000 0.0000 1